1.
GaNiW2 | PBE | relaxed Values from VASP.

Cell and atoms, written as Quantum ESPRESSO input:
```
&SYSTEM
  ibrav = 0, nat = 8, ntyp = 3
/
ATOMIC_SPECIES
Ga 69.72 Ga.upf
Ni 58.69 Ni.upf
W 183.84 W.upf
CELL_PARAMETERS angstrom
-3.4272 3.4272 2.6466
3.4272 -3.4272 2.6466
3.4272 3.4272 -2.6466
ATOMIC_POSITIONS angstrom
Ga 0.0000 0.0000 0.0000
Ga 0.0000 3.4272 1.3233
Ni 3.4272 0.0000 1.3233
Ni 0.0000 0.0000 2.6466
W 1.7136 -1.6036 1.9850
W 1.8236 1.7136 0.6617
W 1.7136 5.0308 -0.6617
W 1.6036 1.7136 3.3083
```

## Properties
VASP energy = -8.050 eV/atom
SG = No. 122
Fermi-level density of states = 0.769 states/eV per atom
Formation energy from the elements = 0.629 eV/atom
M_tot = 0.000 μB/atom

=====

2.
GaNi6W | PBE | relaxed Values from VASP.

Cell and atoms, written as Quantum ESPRESSO input:
```
&SYSTEM
  ibrav = 0, nat = 8, ntyp = 3
/
ATOMIC_SPECIES
Ga 69.72 Ga.upf
Ni 58.69 Ni.upf
W 183.84 W.upf
CELL_PARAMETERS angstrom
3.6118 0.0000 0.0000
0.0000 3.6118 0.0000
0.0000 0.0000 7.2052
ATOMIC_POSITIONS angstrom
Ga 0.0000 0.0000 0.0000
Ni 0.0000 1.8059 1.8163
Ni 0.0000 1.8059 5.3889
Ni 1.8059 0.0000 1.8163
Ni 1.8059 0.0000 5.3889
Ni 1.8059 1.8059 0.0000
Ni 1.8059 1.8059 3.6026
W 0.0000 0.0000 3.6026
```

## Properties
VASP energy = -6.533 eV/atom
SG = No. 123
Fermi-level density of states = 0.661 states/eV per atom
Formation energy from the elements = -0.199 eV/atom
M_tot = 0.000 μB/atom

=====

3.
Ga2Ni9W | PBE | relaxed Values from VASP.

Cell and atoms, written as Quantum ESPRESSO input:
```
&SYSTEM
  ibrav = 0, nat = 12, ntyp = 3
/
ATOMIC_SPECIES
Ga 69.72 Ga.upf
Ni 58.69 Ni.upf
W 183.84 W.upf
CELL_PARAMETERS angstrom
3.6116 0.0000 0.0000
0.0000 3.6116 0.0000
0.0000 0.0000 10.7145
ATOMIC_POSITIONS angstrom
Ga 0.0000 0.0000 1.7256
Ga 0.0000 0.0000 8.9889
Ni 0.0000 1.8058 0.0000
Ni 0.0000 1.8058 3.5824
Ni 0.0000 1.8058 7.1321
Ni 1.8058 0.0000 0.0000
Ni 1.8058 0.0000 3.5824
Ni 1.8058 0.0000 7.1321
Ni 1.8058 1.8058 1.7821
Ni 1.8058 1.8058 5.3573
Ni 1.8058 1.8058 8.9324
W 0.0000 0.0000 5.3573
```

## Properties
VASP energy = -6.174 eV/atom
SG = No. 123
Fermi-level density of states = 0.282 states/eV per atom
Formation energy from the elements = -0.254 eV/atom
M_tot = 0.000 μB/atom